Zn3RhAu: optimized geometry, PBE.

The space group is P2_1/m (No. 11) and the conventional cell measures 4.315, 5.660 and 6.620 Å, with angles of 90.00, 108.88 and 90.00 degrees. The inequivalent atoms are Zn at (0.010, 0.250, 0.020), Zn at (0.190, 0.001, 0.380), Rh at (0.372, 0.750, 0.744) and Au at (0.390, 0.250, 0.778).

Its formation energy is -0.219 eV/atom. The calculation puts the energy above the most stable polymorph in this dataset at 0 meV per atom. For the magnetic moment, the calculation gives 0.0 Bohr magnetons per cell. The value obtained for the final energy is -31.10 eV/cell.